This record from Alexandria describes crystalline SmCdPdPt at its relaxed geometry. The functional is PBE.

```
SmCdPdPt
1.0
0.000 3.435 3.435
3.435 0.000 3.435
3.435 3.435 0.000
Sm Cd Pd Pt
1 1 1 1
Cartesian
0.000 0.000 0.000
3.435 3.435 3.435
5.153 5.153 5.153
1.718 1.718 1.718
```

## Properties
formation energy from the elements: -72.5 kJ/mol of atoms



This record from Alexandria describes crystalline CaTaIr2 at its relaxed geometry. The functional is PBE.

```
CaTaIr2
1.0
3.142 0.000 0.000
0.000 3.142 0.000
0.000 0.000 7.544
Ca Ta Ir
1 1 2
Cartesian
0.000 0.000 0.000
0.000 0.000 3.772
1.571 1.571 2.231
1.571 1.571 5.313
```

## Properties
formation energy from the elements: -46.4 kJ/mol of atoms



This record from Alexandria describes crystalline CsNaSr2Cd at its relaxed geometry. The functional is PBE.

```
CsNaSr2Cd
1.0
6.545 0.000 0.000
0.000 6.545 0.000
0.000 0.000 6.461
Cs Na Sr Cd
1 1 2 1
Cartesian
0.000 0.000 0.000
3.272 3.272 0.000
0.000 3.272 3.231
3.272 0.000 3.231
3.272 3.272 3.231
```

## Properties
formation energy from the elements: 3.4 kJ/mol of atoms



This record from Alexandria describes crystalline Sr2Ru2Se at its relaxed geometry. The functional is PBE.

```
Sr2Ru2Se
1.0
6.846 0.000 0.000
0.000 6.846 0.000
0.000 0.000 4.815
Sr Ru Se
4 4 2
Cartesian
1.220 2.203 0.000
2.203 5.626 0.000
4.643 1.220 0.000
5.626 4.643 0.000
0.863 4.286 2.408
2.560 0.863 2.408
4.286 5.983 2.408
5.983 2.560 2.408
0.000 0.000 2.408
3.423 3.423 2.408
```

## Properties
formation energy without anion corrections: 10 kJ/mol of formula units



This record from Alexandria describes crystalline CeTh2PtRh5 at its relaxed geometry. The functional is PBE.

```
CeTh2PtRh5
1.0
-4.287 4.287 5.204
4.287 -4.287 5.204
4.287 4.287 -5.204
Ce Th Pt Rh
2 4 2 10
Cartesian
0.000 0.000 2.602
0.000 0.000 7.806
5.461 1.175 0.000
1.175 3.112 0.000
3.112 1.175 5.204
-1.175 3.112 5.204
4.287 0.000 2.602
0.000 4.287 2.602
0.000 0.000 0.000
2.668 1.619 -1.413
2.668 -1.619 3.790
2.668 1.619 1.413
2.668 -1.619 6.617
0.000 0.000 5.204
1.619 5.906 -1.413
1.619 2.668 3.790
1.619 5.906 1.413
1.619 2.668 6.617
```

## Properties
formation energy from the elements: -43.2 kJ/mol of atoms



This record from Alexandria describes crystalline TbErMgIn at its relaxed geometry. The functional is PBE.

```
TbErMgIn
1.0
0.000 3.748 3.748
3.748 0.000 3.748
3.748 3.748 0.000
Tb Er Mg In
1 1 1 1
Cartesian
0.000 0.000 0.000
3.748 3.748 3.748
1.874 1.874 1.874
5.622 5.622 5.622
```

## Properties
formation energy from the elements: -30.4 kJ/mol of atoms



This record from Alexandria describes crystalline PmAsPt2 at its relaxed geometry. The functional is PBE.

```
PmAsPt2
1.0
2.105 -5.171 0.000
2.105 5.171 0.000
0.000 0.000 7.116
Pm As Pt
2 2 4
Cartesian
2.105 4.601 5.337
2.105 -4.601 1.779
2.105 2.781 1.779
2.105 -2.781 5.337
2.105 1.404 3.930
2.105 1.404 6.744
2.105 -1.404 0.372
2.105 -1.404 3.186
```

## Properties
formation energy from the elements: -91.0 kJ/mol of atoms



This record from Alexandria describes crystalline ScTeN2Cl at its relaxed geometry. The functional is PBE.

```
ScTeN2Cl
1.0
4.244 0.000 0.000
0.000 4.244 0.000
0.000 0.000 6.118
Sc Te N Cl
1 1 2 1
Cartesian
0.000 0.000 0.000
0.000 0.000 3.059
0.000 2.122 0.000
2.122 0.000 0.000
2.122 2.122 3.059
```

## Properties
formation energy without anion corrections: 332 kJ/mol of formula units



This record from Alexandria describes crystalline Y6NpN8 at its relaxed geometry. The functional is PBE.

```
Y6NpN8
1.0
0.000 4.896 4.896
4.896 0.000 4.896
4.896 4.896 0.000
Y Np N
6 1 8
Cartesian
2.448 2.448 0.000
2.448 0.000 2.448
4.896 2.448 2.448
0.000 2.448 2.448
2.448 4.896 2.448
2.448 2.448 4.896
0.000 0.000 0.000
4.896 4.896 2.164
4.896 2.164 4.896
7.628 4.896 4.896
2.448 2.448 2.448
7.344 7.344 7.344
2.164 4.896 4.896
4.896 7.628 4.896
4.896 4.896 7.628
```

## Properties
formation energy without anion corrections: -2201 kJ/mol of formula units



This record from Alexandria describes crystalline NaBi2Pb3 at its relaxed geometry. The functional is PBE.

```
NaBi2Pb3
1.0
8.660 -2.680 0.000
8.660 2.680 0.000
-6.084 0.000 8.319
Na Bi Pb
2 4 6
Cartesian
1.546 0.000 0.913
9.690 0.000 7.406
-1.370 0.000 7.442
3.398 0.000 6.938
7.838 0.000 1.380
12.607 0.000 0.876
-3.984 0.000 5.586
0.887 0.000 4.973
4.211 0.000 3.250
7.026 0.000 5.069
10.349 0.000 3.346
15.220 0.000 2.733
```

## Properties
formation energy from the elements: -7.6 kJ/mol of atoms



This record from Alexandria describes crystalline YV3C at its relaxed geometry. The functional is PBE.

```
YV3C
1.0
4.187 0.000 0.000
0.000 4.187 0.000
0.000 0.000 4.187
Y V C
1 3 1
Cartesian
0.000 0.000 0.000
0.000 2.094 2.094
2.094 0.000 2.094
2.094 2.094 0.000
2.094 2.094 2.094
```

## Properties
formation energy from the elements: 10.7 kJ/mol of atoms



This record from Alexandria describes crystalline Cr2H2Ir at its relaxed geometry. The functional is PBE.

```
Cr2H2Ir
1.0
5.741 0.000 0.000
0.000 5.741 0.000
0.000 0.000 2.675
Cr H Ir
4 4 2
Cartesian
0.738 2.132 0.000
2.132 5.002 0.000
3.609 0.738 0.000
5.002 3.609 0.000
0.746 3.617 1.337
2.124 0.746 1.337
3.617 4.995 1.337
4.995 2.124 1.337
0.000 0.000 1.337
2.870 2.870 1.337
```

## Properties
uncorrected energy: -6.81 eV/atom